# 1
Computed, not measured: crystalline KBa2Ru at its relaxed geometry at the PBE level of DFT.

```
data_KBa2Ru
_chemical_formula_sum 'K2 Ba4 Ru2'
_space_group_name_H-M_alt 'I -4 m 2'
_space_group_IT_number 119
_space_group_name_Hall 'I -4 -2'
_cell_length_a 5.1273
_cell_length_b 5.1273
_cell_length_c 10.5891
_cell_angle_alpha 90.00
_cell_angle_beta 90.00
_cell_angle_gamma 90.00
loop_
_atom_site_label
_atom_site_fract_x
_atom_site_fract_y
_atom_site_fract_z
K1 0.0000 0.0000 0.0000
Ba1 0.0000 0.0000 0.5000
Ba2 0.0000 0.5000 0.2500
Ru1 0.0000 0.5000 0.7500
```

* formation energy from the elements: 0.79 eV per atom
* uncorrected energy: -22.2 eV for the cell shown

=====

# 2
Computed, not measured: crystalline KBaRu2 at its relaxed geometry at the PBE level of DFT.

```
data_KBaRu2
_chemical_formula_sum 'K2 Ba2 Ru4'
_space_group_name_H-M_alt 'I m m 2'
_space_group_IT_number 44
_cell_length_a 4.1746
_cell_length_b 5.6538
_cell_length_c 9.7233
_cell_angle_alpha 90.00
_cell_angle_beta 90.00
_cell_angle_gamma 90.00
loop_
_space_group_symop_operation_xyz
'x,y,z'
'-x,-y,z'
'-x,y,z'
'x,-y,z'
'x+1/2,y+1/2,z+1/2'
'-x+1/2,-y+1/2,z+1/2'
'-x+1/2,y+1/2,z+1/2'
'x+1/2,-y+1/2,z+1/2'
loop_
_atom_site_label
_atom_site_fract_x
_atom_site_fract_y
_atom_site_fract_z
K1 0.0000 0.0000 0.0000
Ba1 0.0000 0.5000 0.1950
Ru1 0.0000 0.0000 0.3991
Ru2 0.0000 0.5000 0.7931
```

* formation energy from the elements: 0.66 eV per atom
* uncorrected energy: -37.8 eV for the cell shown

=====

# 3
Computed, not measured: crystalline K2BaRu at its relaxed geometry at the PBE level of DFT.

```
data_K2BaRu
_chemical_formula_sum 'K4 Ba2 Ru2'
_space_group_name_H-M_alt 'I -4 m 2'
_space_group_IT_number 119
_space_group_name_Hall 'I -4 -2'
_cell_length_a 5.7507
_cell_length_b 5.7507
_cell_length_c 8.1687
_cell_angle_alpha 90.00
_cell_angle_beta 90.00
_cell_angle_gamma 90.00
loop_
_atom_site_label
_atom_site_fract_x
_atom_site_fract_y
_atom_site_fract_z
K1 0.0000 0.0000 0.0000
K2 0.0000 0.5000 0.2500
Ba1 0.0000 0.0000 0.5000
Ru1 0.0000 0.5000 0.7500
```

* formation energy from the elements: 0.87 eV per atom
* uncorrected energy: -19.8 eV for the cell shown

=====

# 4
Computed, not measured: crystalline KBa2Ru at its relaxed geometry at the PBE level of DFT.

```
data_KBa2Ru
_chemical_formula_sum 'K4 Ba8 Ru4'
_space_group_name_H-M_alt 'F m -3 m'
_space_group_IT_number 225
_space_group_name_Hall '-F 4 2 3'
_cell_length_a 8.1498
_cell_length_b 8.1498
_cell_length_c 8.1498
_cell_angle_alpha 90.00
_cell_angle_beta 90.00
_cell_angle_gamma 90.00
loop_
_atom_site_label
_atom_site_fract_x
_atom_site_fract_y
_atom_site_fract_z
K1 0.0000 0.0000 0.0000
Ba1 0.2500 0.2500 0.2500
Ru1 0.0000 0.0000 0.5000
```

* formation energy from the elements: 0.61 eV per atom
* uncorrected energy: -47.1 eV for the cell shown

=====

| no. | N(E_F) (states/eV/atom) |
| --- | --- |
| 1 | 1.184 |
| 2 | 1.112 |
| 3 | 1.814 |
| 4 | 1.031 |